## Ba2Cu2NiO6 (PBE with a Hubbard U)

Data for a relaxed Ba2Cu2NiO6 crystal.

Summary:
Space-group type ... R-3m, No. 166
Energy ... -5.319 eV/atom
Total magnetic moment ... 0.0854 μB/atom

Lattice parameters (Å, degrees): 5.794 5.794 6.483 63.46 63.46 60.00
Each line ends with the local moment (μB).
Atoms (fractional coordinates):
O 0.236 0.774 0.754  -0.06
O 0.226 0.764 0.246  -0.06
Ba 0.222 0.222 0.333  0.00
O 0.774 0.236 0.754  -0.06
Cu 0.416 0.416 0.752  -0.16
O 0.236 0.236 0.754  -0.06
Ni 0.000 0.000 0.000  1.65
O 0.764 0.226 0.246  -0.06
Cu 0.584 0.584 0.248  -0.16
O 0.764 0.764 0.246  -0.06
Ba 0.778 0.778 0.667  0.00

## Ba3Cu2NiO6 (PBE with a Hubbard U)

Data for a relaxed Ba3Cu2NiO6 crystal.

Summary:
Space-group type ... P-3m1, No. 164
Energy ... -5.343 eV/atom
Total magnetic moment ... 0.0026 μB/atom

Lattice parameters (Å, degrees): 5.943 5.943 6.820 90.00 90.00 120.00
Each line ends with the local moment (μB).
Atoms (fractional coordinates):
O 0.323 0.161 0.690  -0.15
Cu 0.667 0.333 0.777  -0.41
Ni 0.000 0.000 0.500  1.69
O 0.161 0.839 0.310  -0.15
O 0.839 0.677 0.690  -0.15
Ba 0.333 0.667 0.654  0.01
O 0.161 0.323 0.310  -0.15
O 0.839 0.161 0.690  -0.15
Ba 0.667 0.333 0.346  0.01
Ba 0.000 0.000 0.000  0.01
Cu 0.333 0.667 0.223  -0.41
O 0.677 0.839 0.310  -0.15

## BaYCuNiO5 (PBE with a Hubbard U)

Data for a relaxed BaYCuNiO5 crystal.

Summary:
Space-group type ... P4mm, No. 99
Energy ... -6.356 eV/atom
Total magnetic moment ... 0.1220 μB/atom

Lattice parameters (Å, degrees): 3.898 3.898 7.613 90.00 90.00 90.00
Each line ends with the local moment (μB).
Atoms (fractional coordinates):
O 0.500 0.500 0.963  -0.10
O 0.500 0.000 0.278  -0.06
Ba 0.000 0.000 0.965  0.00
O 0.000 0.500 0.651  -0.04
O 0.000 0.500 0.278  -0.06
O 0.500 0.000 0.651  -0.04
Cu 0.500 0.500 0.229  -0.20
Y 0.000 0.000 0.471  0.01
Ni 0.500 0.500 0.703  1.58